Record 1
CrCS2N | PBE | relaxed

The total energy is -6.1609 eV per atom. The value obtained for the raw formation energy is 0.925 eV per atom. The crystal system is tetragonal.

The structure belongs to space group P4/mmm (No. 123); the cell edges are 5.324, 5.324 and 2.478 Å and the angles 90.00°, 90.00° and 90.00°. The inequivalent atoms are Cr at (0.000, 0.000, 0.000), C at (0.500, 0.500, 0.500), S at (0.000, 0.500, 0.500) and N at (0.500, 0.500, 0.000).



Record 2
NdSm2Ir | PBE | relaxed

The total energy is -6.2440 eV per atom. The crystal system is orthorhombic. The formation energy from the elements is -477 meV per atom.

The structure belongs to space group Pnma (No. 62); the cell edges are 7.352, 9.712 and 6.522 Å and the angles 90.00°, 90.00° and 90.00°. The inequivalent atoms are Nd at (0.035, 0.250, 0.139), Sm at (0.175, 0.065, 0.671) and Ir at (0.119, 0.750, 0.437).



Record 3
PmTl2I3Cl3 | PBE | relaxed

The total energy is -3.3884 eV per atom. The value obtained for the raw formation energy is -1.202 eV per atom. The crystal system is hexagonal.

The structure belongs to space group P-62m (No. 189); the cell edges are 9.2178, 9.2178 and 4.0071 Å and the angles 90.00°, 90.00° and 120.00°. The inequivalent atoms are Pm at (0.0000, 0.0000, 0.0000), Tl at (0.3333, 0.6667, 0.5000), I at (0.0000, 0.5865, 0.0000) and Cl at (0.0000, 0.2129, 0.5000).



Record 4
UTl2Sn3O12 | PBE | relaxed

The total energy is -6.2196 eV per atom. The value obtained for the raw formation energy is -1.357 eV per atom. The crystal system is trigonal.

The structure belongs to space group R-3m (No. 166, hexagonal axes); the cell edges are 7.4669, 7.4669 and 19.6775 Å and the angles 90.00°, 90.00° and 120.00°. The inequivalent atoms are U at (0.0000, 0.0000, 0.0000), Tl at (0.0000, 0.0000, 0.4009), Sn at (0.0000, 0.5000, 0.5000), O at (0.0598, 0.5299, 0.8601) and O at (0.0866, 0.5433, 0.6036).



Record 5
PrThAg4 | PBE | relaxed

The total energy is -3.9874 eV per atom. The crystal system is cubic. The formation energy from the elements is -53 meV per atom.

The structure belongs to space group F-43m (No. 216); the cell edges are 8.190, 8.190 and 8.190 Å and the angles 90.00°, 90.00° and 90.00°. The inequivalent atoms are Pr at (0.000, 0.000, 0.000), Th at (0.250, 0.250, 0.750) and Ag at (0.125, 0.125, 0.375).



Record 6
NaNd2Dy3Se6 | PBE | relaxed

The total energy is -5.5729 eV per atom. The value obtained for the raw formation energy is -1.776 eV per atom. The crystal system is monoclinic.

The structure belongs to space group C2/m (No. 12); the cell edges are 18.176, 4.121 and 8.366 Å and the angles 90.00°, 103.85° and 90.00°. The inequivalent atoms are Na at (0.000, 0.000, 0.000), Nd at (0.171, 0.500, 0.343), Dy at (0.000, 0.000, 0.500), Dy at (0.166, 0.500, 0.828), Se at (0.002, 0.500, 0.745), Se at (0.161, 0.000, 0.592) and Se at (0.168, 0.000, 0.075).



Record 7
In2Sb2Pt | PBE | relaxed

The total energy is -4.0082 eV per atom. The value obtained for the raw formation energy is -0.056 eV per atom. The crystal system is tetragonal.

The structure belongs to space group P4/mbm (No. 127); the cell edges are 6.898, 6.898 and 5.770 Å and the angles 90.00°, 90.00° and 90.00°. The inequivalent atoms are In at (0.175, 0.325, 0.000), Sb at (0.148, 0.648, 0.500) and Pt at (0.000, 0.000, 0.500).



Record 8
LiEr2Rh2 | PBE | relaxed

The total energy is -5.8536 eV per atom. The crystal system is orthorhombic. The formation energy from the elements is -705 meV per atom.

The structure belongs to space group Immm (No. 71); the cell edges are 4.037, 5.935 and 8.090 Å and the angles 90.00°, 90.00° and 90.00°. The inequivalent atoms are Li at (0.000, 0.000, 0.000), Er at (0.000, 0.500, 0.205) and Rh at (0.000, 0.232, 0.500).



Record 9
Na3Tl13 | PBE | relaxed

The total energy is -2.2155 eV per atom. The crystal system is orthorhombic. The formation energy from the elements is -46 meV per atom.

The structure belongs to space group Amm2 (No. 38); the cell edges are 8.035, 10.852 and 10.942 Å and the angles 90.00°, 90.00° and 90.00°. The inequivalent atoms are Na at (0.000, 0.000, 0.000), Na at (0.266, 0.000, 0.258), Tl at (0.000, 0.000, 0.498), Tl at (0.000, 0.240, 0.257), Tl at (0.235, 0.000, 0.752), Tl at (0.250, 0.248, 0.009), Tl at (0.500, 0.000, 0.513), Tl at (0.500, 0.000, 0.997) and Tl at (0.500, 0.241, 0.761).



Record 10
NaHfAl | PBE | relaxed

The total energy is -4.9471 eV per atom. The crystal system is orthorhombic. The formation energy from the elements is 58 meV per atom.

The structure belongs to space group Cmmm (No. 65); the cell edges are 3.780, 15.666 and 4.433 Å and the angles 90.00°, 90.00° and 90.00°. The inequivalent atoms are Na at (0.000, 0.000, 0.000), Na at (0.000, 0.500, 0.500), Hf at (0.000, 0.178, 0.500) and Al at (0.000, 0.314, 0.000).